No. 1
Compound: Mn2TcN
Source: Alexandria
Functional: GGA-PBE
Structure: relaxed

Geometry as CIF:
```
data_Mn2TcN
_chemical_formula_sum 'Mn8 Tc4 N4'
_space_group_name_H-M_alt 'I -4 2 d'
_space_group_IT_number 122
_space_group_name_Hall 'I -4 2bw'
_cell_length_a 4.9541
_cell_length_b 4.9541
_cell_length_c 8.5703
_cell_angle_alpha 90.00
_cell_angle_beta 90.00
_cell_angle_gamma 90.00
loop_
_atom_site_label
_atom_site_fract_x
_atom_site_fract_y
_atom_site_fract_z
Mn1 0.1592 0.2500 0.1250
Tc1 0.0000 0.0000 0.5000
N1 0.0000 0.0000 0.0000
```

Summary:
Magnetic moment ... 2.0 μB per formula unit
E_form (uncorrected) ... 0.31 eV/atom
VASP energy ... -8.9509 eV/atom

---

No. 2
Compound: MnTcN3
Source: Alexandria
Functional: GGA-PBE
Structure: relaxed

Geometry as CIF:
```
data_MnTcN3
_chemical_formula_sum 'Mn1 Tc1 N3'
_space_group_name_H-M_alt 'P m -3 m'
_space_group_IT_number 221
_space_group_name_Hall '-P 4 2 3'
_cell_length_a 3.6293
_cell_length_b 3.6293
_cell_length_c 3.6293
_cell_angle_alpha 90.00
_cell_angle_beta 90.00
_cell_angle_gamma 90.00
loop_
_atom_site_label
_atom_site_fract_x
_atom_site_fract_y
_atom_site_fract_z
Mn1 0.0000 0.0000 0.0000
Tc1 0.5000 0.5000 0.5000
N1 0.0000 0.0000 0.5000
```

Summary:
Magnetic moment ... 1.5 μB per formula unit
E_form (uncorrected) ... 1.11 eV/atom
VASP energy ... -7.7890 eV/atom

---

No. 3
Compound: Mn21Tc2N6
Source: Alexandria
Functional: GGA-PBE
Structure: relaxed

Geometry as CIF:
```
data_Mn21Tc2N6
_chemical_formula_sum 'Mn84 Tc8 N24'
_space_group_name_H-M_alt 'F m -3 m'
_space_group_IT_number 225
_space_group_name_Hall '-F 4 2 3'
_cell_length_a 10.4218
_cell_length_b 10.4218
_cell_length_c 10.4218
_cell_angle_alpha 90.00
_cell_angle_beta 90.00
_cell_angle_gamma 90.00
loop_
_atom_site_label
_atom_site_fract_x
_atom_site_fract_y
_atom_site_fract_z
Mn1 0.0000 0.0000 0.0000
Mn2 0.0000 0.1658 0.1658
Mn3 0.1166 0.1166 0.3834
Tc1 0.2500 0.2500 0.2500
N1 0.0000 0.0000 0.2756
```

Summary:
Magnetic moment ... 13.1 μB per formula unit
E_form (uncorrected) ... -0.05 eV/atom
VASP energy ... -9.1242 eV/atom

---

No. 4
Compound: MnTcN2
Source: Alexandria
Functional: GGA-PBE
Structure: relaxed

Geometry as CIF:
```
data_MnTcN2
_chemical_formula_sum 'Mn4 Tc4 N8'
_space_group_name_H-M_alt 'I -4 2 d'
_space_group_IT_number 122
_space_group_name_Hall 'I -4 2bw'
_cell_length_a 4.4992
_cell_length_b 4.4992
_cell_length_c 8.8915
_cell_angle_alpha 90.00
_cell_angle_beta 90.00
_cell_angle_gamma 90.00
loop_
_atom_site_label
_atom_site_fract_x
_atom_site_fract_y
_atom_site_fract_z
Mn1 0.0000 0.0000 0.0000
Tc1 0.0000 0.0000 0.5000
N1 0.2363 0.2500 0.1250
```

Summary:
Magnetic moment ... 2.2 μB per formula unit
E_form (uncorrected) ... -0.10 eV/atom
VASP energy ... -9.1454 eV/atom

---

No. 5
Compound: MnTcN
Source: Alexandria
Functional: GGA-PBE
Structure: relaxed

Geometry as CIF:
```
data_MnTcN
_chemical_formula_sum 'Mn1 Tc1 N1'
_space_group_name_H-M_alt 'P -6 m 2'
_space_group_IT_number 187
_space_group_name_Hall 'P -6 2'
_cell_length_a 3.5400
_cell_length_b 3.5400
_cell_length_c 2.8016
_cell_angle_alpha 90.00
_cell_angle_beta 90.00
_cell_angle_gamma 120.00
loop_
_atom_site_label
_atom_site_fract_x
_atom_site_fract_y
_atom_site_fract_z
Mn1 0.0000 0.0000 0.0000
Tc1 0.3333 0.6667 0.5000
N1 0.6667 0.3333 0.0000
```

Summary:
Magnetic moment ... 0.0 μB per formula unit
E_form (uncorrected) ... 0.40 eV/atom
VASP energy ... -8.8841 eV/atom

---

No. 6
Compound: MnTcN2
Source: Alexandria
Functional: GGA-PBE
Structure: relaxed

Geometry as CIF:
```
data_MnTcN2
_chemical_formula_sum 'Mn3 Tc3 N6'
_space_group_name_H-M_alt 'R -3 m'
_space_group_IT_number 166
_space_group_name_Hall '-R 3 2"'
_cell_length_a 2.8385
_cell_length_b 2.8385
_cell_length_c 18.3622
_cell_angle_alpha 90.00
_cell_angle_beta 90.00
_cell_angle_gamma 120.00
loop_
_atom_site_label
_atom_site_fract_x
_atom_site_fract_y
_atom_site_fract_z
Mn1 0.0000 0.0000 0.0000
Tc1 0.0000 0.0000 0.5000
N1 0.0000 0.0000 0.3939
```

Summary:
Magnetic moment ... 3.1 μB per formula unit
E_form (uncorrected) ... 0.20 eV/atom
VASP energy ... -8.8430 eV/atom

---

No. 7
Compound: Mn3TcN
Source: Alexandria
Functional: GGA-PBE
Structure: relaxed

Geometry as CIF:
```
data_Mn3TcN
_chemical_formula_sum 'Mn3 Tc1 N1'
_space_group_name_H-M_alt 'P m -3 m'
_space_group_IT_number 221
_space_group_name_Hall '-P 4 2 3'
_cell_length_a 4.6433
_cell_length_b 4.6433
_cell_length_c 4.6433
_cell_angle_alpha 90.00
_cell_angle_beta 90.00
_cell_angle_gamma 90.00
loop_
_atom_site_label
_atom_site_fract_x
_atom_site_fract_y
_atom_site_fract_z
Mn1 0.0000 0.0000 0.5000
Tc1 0.0000 0.0000 0.0000
N1 0.5000 0.5000 0.5000
```

Summary:
Magnetic moment ... 8.4 μB per formula unit
E_form (uncorrected) ... 2.17 eV/atom
VASP energy ... -7.0726 eV/atom

---

No. 8
Compound: MnTcN3
Source: Alexandria
Functional: GGA-PBE
Structure: relaxed

Geometry as CIF:
```
data_MnTcN3
_chemical_formula_sum 'Mn1 Tc1 N3'
_space_group_name_H-M_alt 'P m -3 m'
_space_group_IT_number 221
_space_group_name_Hall '-P 4 2 3'
_cell_length_a 3.8653
_cell_length_b 3.8653
_cell_length_c 3.8653
_cell_angle_alpha 90.00
_cell_angle_beta 90.00
_cell_angle_gamma 90.00
loop_
_atom_site_label
_atom_site_fract_x
_atom_site_fract_y
_atom_site_fract_z
Mn1 0.0000 0.0000 0.0000
Tc1 0.5000 0.5000 0.5000
N1 0.0000 0.5000 0.5000
```

Summary:
Magnetic moment ... 4.3 μB per formula unit
E_form (uncorrected) ... 0.85 eV/atom
VASP energy ... -8.0525 eV/atom

---

No. 9
Compound: MnTcTe2N
Source: Alexandria
Functional: GGA-PBE
Structure: relaxed

Geometry as CIF:
```
data_MnTcTe2N
_chemical_formula_sum 'Mn1 Tc1 Te2 N1'
_space_group_name_H-M_alt 'P 4/m m m'
_space_group_IT_number 123
_space_group_name_Hall '-P 4 2'
_cell_length_a 5.2223
_cell_length_b 5.2223
_cell_length_c 3.4260
_cell_angle_alpha 90.00
_cell_angle_beta 90.00
_cell_angle_gamma 90.00
loop_
_atom_site_label
_atom_site_fract_x
_atom_site_fract_y
_atom_site_fract_z
Mn1 0.0000 0.0000 0.0000
Tc1 0.5000 0.5000 0.5000
Te1 0.0000 0.5000 0.0000
N1 0.0000 0.0000 0.5000
```

Summary:
Magnetic moment ... 3.5 μB per formula unit
E_form (uncorrected) ... 0.58 eV/atom
VASP energy ... -6.2457 eV/atom

---

No. 10
Compound: MnTcTe2N
Source: Alexandria
Functional: GGA-PBE
Structure: relaxed

Geometry as CIF:
```
data_MnTcTe2N
_chemical_formula_sum 'Mn1 Tc1 Te2 N1'
_space_group_name_H-M_alt 'P 4/m m m'
_space_group_IT_number 123
_space_group_name_Hall '-P 4 2'
_cell_length_a 5.4367
_cell_length_b 5.4367
_cell_length_c 3.7006
_cell_angle_alpha 90.00
_cell_angle_beta 90.00
_cell_angle_gamma 90.00
loop_
_atom_site_label
_atom_site_fract_x
_atom_site_fract_y
_atom_site_fract_z
Mn1 0.0000 0.0000 0.0000
Tc1 0.5000 0.5000 0.5000
Te1 0.0000 0.5000 0.5000
N1 0.5000 0.5000 0.0000
```

Summary:
Magnetic moment ... 4.6 μB per formula unit
E_form (uncorrected) ... 0.41 eV/atom
VASP energy ... -6.4222 eV/atom

---

No. 11
Compound: Th2MnTc2N6
Source: Alexandria
Functional: GGA-PBE
Structure: relaxed

Geometry as CIF:
```
data_Th2MnTc2N6
_chemical_formula_sum 'Th6 Mn3 Tc6 N18'
_space_group_name_H-M_alt 'R -3 m'
_space_group_IT_number 166
_space_group_name_Hall '-R 3 2"'
_cell_length_a 5.8988
_cell_length_b 5.8988
_cell_length_c 15.2125
_cell_angle_alpha 90.00
_cell_angle_beta 90.00
_cell_angle_gamma 120.00
loop_
_atom_site_label
_atom_site_fract_x
_atom_site_fract_y
_atom_site_fract_z
Th1 0.0000 0.0000 0.2086
Mn1 0.0000 0.0000 0.0000
Tc1 0.0000 0.0000 0.4250
N1 0.0374 0.5187 0.7514
```

Summary:
Magnetic moment ... 3.1 μB per formula unit
E_form (uncorrected) ... -0.37 eV/atom
VASP energy ... -8.9771 eV/atom

---

No. 12
Compound: Th2MnTcN6
Source: Alexandria
Functional: GGA-PBE
Structure: relaxed

Geometry as CIF:
```
data_Th2MnTcN6
_chemical_formula_sum 'Th4 Mn2 Tc2 N12'
_space_group_name_H-M_alt 'P 1 21/c 1'
_space_group_IT_number 14
_cell_length_a 5.5064
_cell_length_b 5.5592
_cell_length_c 9.5288
_cell_angle_alpha 90.00
_cell_angle_beta 125.20
_cell_angle_gamma 90.00
loop_
_space_group_symop_operation_xyz
'x,y,z'
'-x,-y,-z'
'-x,y+1/2,-z+1/2'
'x,-y+1/2,z+1/2'
loop_
_atom_site_label
_atom_site_fract_x
_atom_site_fract_y
_atom_site_fract_z
Th1 0.2474 0.0436 0.2507
Mn1 0.5000 0.0000 0.0000
Tc1 0.0000 0.0000 0.5000
N1 0.1693 0.2015 0.9634
N2 0.2630 0.7062 0.9644
N3 0.3215 0.0133 0.7526
```

Summary:
Magnetic moment ... 2.2 μB per formula unit
E_form (uncorrected) ... -0.81 eV/atom
VASP energy ... -9.2401 eV/atom

---

No. 13
Compound: MnV2TcN
Source: Alexandria
Functional: GGA-PBE
Structure: relaxed

Geometry as CIF:
```
data_MnV2TcN
_chemical_formula_sum 'Mn1 V2 Tc1 N1'
_space_group_name_H-M_alt 'P 4/m m m'
_space_group_IT_number 123
_space_group_name_Hall '-P 4 2'
_cell_length_a 3.9561
_cell_length_b 3.9561
_cell_length_c 3.7485
_cell_angle_alpha 90.00
_cell_angle_beta 90.00
_cell_angle_gamma 90.00
loop_
_atom_site_label
_atom_site_fract_x
_atom_site_fract_y
_atom_site_fract_z
Mn1 0.0000 0.0000 0.0000
V1 0.0000 0.5000 0.5000
Tc1 0.5000 0.5000 0.0000
N1 0.0000 0.0000 0.5000
```

Summary:
Magnetic moment ... 1.8 μB per formula unit
E_form (uncorrected) ... -0.40 eV/atom
VASP energy ... -9.6163 eV/atom